Model A:
Al2MoIr: relaxed, PBE.

a b c (Å): 4.1016 4.1016 3.4805
angles (deg): 90.00 90.00 90.00
With the nearest neighbours (Å) after each atom.
Positions (direct):
Al 0.0000 0.5000 0.0000  4 Mo 2.69, 4 Ir 2.69, 4 Al 2.90
Al 0.5000 0.0000 0.0000  4 Mo 2.69, 4 Ir 2.69, 4 Al 2.90
Mo 0.0000 0.0000 0.5000  8 Al 2.69, 4 Ir 2.90
Ir 0.5000 0.5000 0.5000  8 Al 2.69, 4 Mo 2.90

Output
Volume: 14.638 Å³ per atom
Magnetization: 0.3 Bohr magnetons per cell

=====

Model B:
Al2MoIr: relaxed, PBE.

a b c (Å): 4.9409 4.9409 4.5794
angles (deg): 107.15 107.15 33.82
With the nearest neighbours (Å) after each atom.
Positions (direct):
Al 0.0000 0.0000 0.0000  4 Ir 2.64-2.77, 3 Mo 2.65-2.69, 4 Al 2.87-2.88
Al 0.2373 0.2373 0.6581  3 Ir 2.62-2.71, 4 Mo 2.67-2.75, 4 Al 2.87-2.88
Mo 0.7534 0.7534 0.1585  7 Al 2.65-2.75, 2 Ir 2.76, 2 Mo 2.87
Ir 0.4940 0.4940 0.5127  7 Al 2.62-2.77, 2 Mo 2.76, 2 Ir 2.87

Output
Volume: 14.799 Å³ per atom
Magnetization: 0.0 Bohr magnetons per cell

=====

Model C:
Al2MoIr: relaxed, PBE.

a b c (Å): 3.1689 3.1689 5.8993
angles (deg): 90.00 90.00 90.00
With the nearest neighbours (Å) after each atom.
Positions (direct):
Al 0.0000 0.0000 0.0000  4 Mo 2.66, 4 Al 2.71, 1 Ir 2.80
Al 0.5000 0.5000 0.2572  4 Ir 2.58, 4 Al 2.71
Mo 0.5000 0.5000 0.7586  6 Al 2.66-2.96, 4 Ir 2.79
Ir 0.0000 0.0000 0.4754  5 Al 2.58-2.80, 4 Mo 2.79

Output
Volume: 14.810 Å³ per atom
Magnetization: 0.0 Bohr magnetons per cell

=====

Least stable = model C

=====

Model A:
Al2MoIr: relaxed, PBE.

a b c (Å): 2.8030 2.8030 7.8811
angles (deg): 90.00 90.00 90.00
With the nearest neighbours (Å) after each atom.
Positions (direct):
Al 0.0000 0.0000 0.0000  4 Mo 2.79, 8 Al 2.80-3.04
Al 0.5000 0.5000 0.2930  4 Ir 2.63, 4 Al 2.80
Mo 0.5000 0.5000 0.7514  4 Ir 2.73, 4 Al 2.79, 4 Mo 2.80
Ir 0.0000 0.0000 0.5125  4 Al 2.63, 4 Mo 2.73, 4 Ir 2.80

Output
Volume: 15.480 Å³ per atom
Magnetization: 0.0 Bohr magnetons per cell

=====

Model B:
Al2MoIr: relaxed, PBE.

a b c (Å): 4.3955 4.3955 4.3955
angles (deg): 60.00 60.00 60.00
With the nearest neighbours (Å) after each atom.
Positions (direct):
Al 0.0000 0.0000 0.0000  4 Mo 2.69, 4 Al 2.69
Al 0.2500 0.2500 0.2500  4 Ir 2.69, 4 Al 2.69
Mo 0.7500 0.7500 0.7500  4 Al 2.69, 4 Ir 2.69
Ir 0.5000 0.5000 0.5000  4 Mo 2.69, 4 Al 2.69

Output
Volume: 15.012 Å³ per atom
Magnetization: 0.1 Bohr magnetons per cell

=====

Model C:
Al2MoIr: relaxed, PBE.

a b c (Å): 2.8263 4.3650 4.9597
angles (deg): 90.00 100.98 90.00
With the nearest neighbours (Å) after each atom.
Positions (direct):
Al 0.0000 0.0000 0.0000  2 Ir 2.54, 3 Mo 2.55-2.81, 4 Al 2.72-2.83
Al 0.3769 0.5000 0.7926  3 Ir 2.60-2.73, 6 Al 2.72-2.87, 2 Mo 2.83
Mo 0.6366 0.0000 0.4892  5 Al 2.55-2.83, 4 Ir 2.81-2.83, 2 Mo 2.83
Ir 0.0538 0.5000 0.2655  5 Al 2.54-2.73, 4 Mo 2.81-2.83, 2 Ir 2.83

Output
Volume: 15.017 Å³ per atom
Magnetization: 0.0 Bohr magnetons per cell

=====

Model D:
Al2MoIr: relaxed, PBE.

a b c (Å): 8.6557 8.6557 8.6557
angles (deg): 19.05 19.05 19.05
With the nearest neighbours (Å) after each atom.
Positions (direct):
Al 0.2452 0.2452 0.2452  3 Ir 2.60, 3 Mo 2.79, 6 Al 2.86
Al 0.7548 0.7548 0.7548  3 Ir 2.60, 3 Mo 2.79, 6 Al 2.86
Mo 0.0000 0.0000 0.0000  6 Al 2.79, 6 Mo 2.86
Ir 0.5000 0.5000 0.5000  6 Al 2.60, 6 Ir 2.86

Output
Volume: 15.093 Å³ per atom
Magnetization: 0.0 Bohr magnetons per cell

=====

Least stable = model B

=====

Model A:
AlMo3Ir: relaxed, PBE.

a b c (Å): 4.4425 4.4425 4.4425
angles (deg): 90.00 90.00 90.00
With the nearest neighbours (Å) after each atom.
Positions (direct):
Al 0.0000 0.0000 0.0000  6 Mo 2.22
Mo 0.0000 0.0000 0.5000  2 Al 2.22
Mo 0.0000 0.5000 0.0000  2 Al 2.22
Mo 0.5000 0.0000 0.0000  2 Al 2.22
Ir 0.5000 0.5000 0.5000  12 Mo 3.14

Output
Volume: 17.536 Å³ per atom
Magnetization: 0.0 Bohr magnetons per cell

=====

Model B:
AlMo3Ir: relaxed, PBE.

a b c (Å): 4.7359 4.7359 4.7359
angles (deg): 90.00 90.00 90.00
With the nearest neighbours (Å) after each atom.
Positions (direct):
Al 0.0000 0.0000 0.0000  12 Mo 3.35
Mo 0.0000 0.5000 0.5000  2 Ir 2.37
Mo 0.5000 0.0000 0.5000  2 Ir 2.37
Mo 0.5000 0.5000 0.0000  2 Ir 2.37
Ir 0.5000 0.5000 0.5000  6 Mo 2.37

Output
Volume: 21.244 Å³ per atom
Magnetization: 0.0 Bohr magnetons per cell

=====

Least stable = model A

=====

Model A:
AlMo2Ir: relaxed, PBE.

a b c (Å): 4.7737 4.7737 4.7737
angles (deg): 130.81 130.81 72.12
With the nearest neighbours (Å) after each atom.
Positions (direct):
Al 0.0000 0.0000 0.0000  8 Mo 2.77-2.81, 4 Ir 2.77
Mo 0.5000 0.5000 0.0000  4 Mo 2.77, 4 Ir 2.77, 4 Al 2.81
Mo 0.7500 0.2500 0.5000  4 Mo 2.77, 4 Al 2.77, 4 Ir 2.81
Ir 0.2500 0.7500 0.5000  8 Mo 2.77-2.81, 4 Al 2.77

Output
Volume: 15.234 Å³ per atom
Magnetization: 0.0 Bohr magnetons per cell

=====

Model B:
AlMo2Ir: relaxed, PBE.

a b c (Å): 5.7069 5.7069 5.7069
angles (deg): 101.99 101.99 125.76
With the nearest neighbours (Å) after each atom.
Positions (direct):
Al 0.0000 0.0000 0.0000  2 Ir 2.60, 4 Mo 2.71
Al 0.7500 0.2500 0.5000  2 Ir 2.60, 4 Mo 2.71
Mo 0.1423 0.1250 0.5173  2 Ir 2.54, 2 Mo 2.61, 2 Al 2.71
Mo 0.3750 0.8577 0.9827  2 Ir 2.54, 2 Mo 2.61, 2 Al 2.71
Mo 0.6077 0.6250 0.4827  2 Ir 2.54, 2 Mo 2.61, 2 Al 2.71
Mo 0.8750 0.3923 0.0173  2 Ir 2.54, 2 Mo 2.61, 2 Al 2.71
Ir 0.2500 0.7500 0.5000  4 Mo 2.54, 2 Al 2.60
Ir 0.5000 0.5000 0.0000  4 Mo 2.54, 2 Al 2.60

Output
Volume: 16.780 Å³ per atom
Magnetization: 0.0 Bohr magnetons per cell

=====

Model C:
AlMo2Ir: relaxed, PBE.

a b c (Å): 9.1726 9.1726 9.1726
angles (deg): 17.60 17.60 17.60
With the nearest neighbours (Å) after each atom.
Positions (direct):
Al 0.0000 0.0000 0.0000  6 Al 2.81, 6 Mo 2.81
Mo 0.2485 0.2485 0.2485  3 Ir 2.75, 6 Mo 2.81, 3 Al 2.81
Mo 0.7515 0.7515 0.7515  3 Ir 2.75, 6 Mo 2.81, 3 Al 2.81
Ir 0.5000 0.5000 0.5000  6 Mo 2.75, 6 Ir 2.81

Output
Volume: 15.394 Å³ per atom
Magnetization: 0.0 Bohr magnetons per cell

=====

Least stable = model B

=====

Model A:
AlMo2Ir: relaxed, PBE.

a b c (Å): 2.7594 4.0113 5.5038
angles (deg): 90.00 90.00 90.00
With the nearest neighbours (Å) after each atom.
Positions (direct):
Al 0.0000 0.0000 0.0000  6 Mo 2.71-2.83, 4 Ir 2.71, 2 Al 2.76
Mo 0.0000 0.0000 0.4923  2 Al 2.71-2.79, 6 Mo 2.76-2.79, 4 Ir 2.87
Mo 0.5000 0.5000 0.7391  2 Ir 2.63-2.88, 6 Mo 2.76-2.79, 4 Al 2.83
Ir 0.5000 0.5000 0.2164  6 Mo 2.63-2.88, 4 Al 2.71, 2 Ir 2.76

Output
Volume: 15.230 Å³ per atom
Magnetization: 0.0 Bohr magnetons per cell

=====

Model B:
AlMo2Ir: relaxed, PBE.

a b c (Å): 5.0893 5.0893 5.0893
angles (deg): 137.21 137.21 62.11
With the nearest neighbours (Å) after each atom.
Positions (direct):
Al 0.0000 0.0000 0.0000  4 Ir 2.63, 8 Mo 2.86
Mo 0.2500 0.7500 0.5000  4 Mo 2.63, 4 Ir 2.86, 4 Al 2.86
Mo 0.7500 0.2500 0.5000  4 Mo 2.63, 4 Ir 2.86, 4 Al 2.86
Ir 0.5000 0.5000 0.0000  4 Al 2.63, 8 Mo 2.86

Output
Volume: 15.027 Å³ per atom
Magnetization: 0.0 Bohr magnetons per cell

=====

Model C:
AlMo2Ir: relaxed, PBE.

a b c (Å): 9.1073 9.1073 9.1073
angles (deg): 17.77 17.77 17.77
With the nearest neighbours (Å) after each atom.
Positions (direct):
Al 0.0000 0.0000 0.0000  3 Ir 2.66, 3 Mo 2.79, 6 Al 2.81
Mo 0.2490 0.2490 0.2490  3 Al 2.79, 9 Mo 2.81-2.92
Mo 0.4921 0.4921 0.4921  3 Ir 2.71, 9 Mo 2.81-2.92
Ir 0.7449 0.7449 0.7449  3 Al 2.66, 3 Mo 2.71, 6 Ir 2.81

Output
Volume: 15.348 Å³ per atom
Magnetization: 0.0 Bohr magnetons per cell

=====

Least stable = model C

=====

Model A:
AlMo2Ir: relaxed, PBE.

a b c (Å): 4.7351 4.7351 4.9360
angles (deg): 96.87 96.87 33.86
With the nearest neighbours (Å) after each atom.
Positions (direct):
Al 0.0000 0.0000 0.0000  3 Ir 2.65-2.71, 7 Mo 2.71-2.89, 2 Al 2.76
Mo 0.5197 0.5197 0.5061  5 Mo 2.57-2.86, 2 Ir 2.77, 4 Al 2.83-2.84
Mo 0.7573 0.7573 0.2714  5 Mo 2.57-2.86, 1 Al 2.71, 2 Ir 2.75
Ir 0.2547 0.2547 0.7899  3 Al 2.65-2.71, 7 Mo 2.75-2.93, 2 Ir 2.76

Output
Volume: 15.293 Å³ per atom
Magnetization: 0.0 Bohr magnetons per cell

=====

Model B:
AlMo2Ir: relaxed, PBE.

a b c (Å): 3.1446 3.1446 6.1306
angles (deg): 90.00 90.00 90.00
With the nearest neighbours (Å) after each atom.
Positions (direct):
Al 0.0000 0.0000 0.0000  4 Ir 2.63, 4 Mo 2.74
Mo 0.0000 0.0000 0.5150  4 Mo 2.62, 4 Ir 2.83
Mo 0.5000 0.5000 0.7398  4 Mo 2.62, 4 Al 2.74
Ir 0.5000 0.5000 0.2295  4 Al 2.63, 4 Mo 2.83

Output
Volume: 15.156 Å³ per atom
Magnetization: 0.0 Bohr magnetons per cell

=====

Least stable = model A

=====

Model A:
AlMo2Ir: relaxed, PBE.

a b c (Å): 4.4006 4.4006 4.4006
angles (deg): 60.00 60.00 60.00
With the nearest neighbours (Å) after each atom.
Positions (direct):
Al 0.0000 0.0000 0.0000  4 Mo 2.69, 4 Ir 2.69
Mo 0.2500 0.2500 0.2500  4 Mo 2.69, 4 Al 2.69
Mo 0.5000 0.5000 0.5000  4 Ir 2.69, 4 Mo 2.69
Ir 0.7500 0.7500 0.7500  4 Mo 2.69, 4 Al 2.69

Output
Volume: 15.065 Å³ per atom
Magnetization: 0.0 Bohr magnetons per cell

=====

Model B:
AlMo2Ir: relaxed, PBE.

a b c (Å): 4.4254 4.4254 4.4254
angles (deg): 60.00 60.00 60.00
With the nearest neighbours (Å) after each atom.
Positions (direct):
Al 0.0000 0.0000 0.0000  8 Mo 2.71
Mo 0.2500 0.2500 0.2500  4 Ir 2.71, 4 Al 2.71
Mo 0.7500 0.7500 0.7500  4 Al 2.71, 4 Ir 2.71
Ir 0.5000 0.5000 0.5000  8 Mo 2.71

Output
Volume: 15.321 Å³ per atom
Magnetization: 0.0 Bohr magnetons per cell

=====

Model C:
AlMo2Ir: relaxed, PBE.

a b c (Å): 2.7795 2.7795 7.8425
angles (deg): 90.00 90.00 90.00
With the nearest neighbours (Å) after each atom.
Positions (direct):
Al 0.0000 0.0000 0.0000  4 Al 2.78, 8 Mo 2.78
Mo 0.5000 0.5000 0.2507  4 Ir 2.77, 4 Mo 2.78, 4 Al 2.78
Mo 0.5000 0.5000 0.7493  4 Ir 2.77, 4 Mo 2.78, 4 Al 2.78
Ir 0.0000 0.0000 0.5000  8 Mo 2.77, 4 Ir 2.78

Output
Volume: 15.147 Å³ per atom
Magnetization: 0.0 Bohr magnetons per cell

=====

Model D:
AlMo2Ir: relaxed, PBE.

a b c (Å): 4.6964 4.6964 2.7764
angles (deg): 90.00 90.00 90.00
With the nearest neighbours (Å) after each atom.
Positions (direct):
Al 0.0000 0.0000 0.0000  8 Mo 2.73, 2 Al 2.78
Mo 0.0000 0.5000 0.5000  4 Al 2.73, 4 Ir 2.73, 2 Mo 2.78
Mo 0.5000 0.0000 0.5000  4 Al 2.73, 4 Ir 2.73, 2 Mo 2.78
Ir 0.5000 0.5000 0.0000  8 Mo 2.73, 2 Ir 2.78

Output
Volume: 15.309 Å³ per atom
Magnetization: 0.0 Bohr magnetons per cell

=====

Least stable = model B

=====

Model A:
AlMo2Ir: relaxed, PBE.

a b c (Å): 2.7671 4.1779 5.2150
angles (deg): 90.00 90.18 90.00
With the nearest neighbours (Å) after each atom.
Positions (direct):
Al 0.0000 0.0000 0.0000  2 Ir 2.61, 2 Al 2.77, 8 Mo 2.81-2.82
Mo 0.4991 0.5000 0.2452  4 Mo 2.56-2.77, 4 Al 2.81-2.82, 4 Ir 2.84
Mo 0.5009 0.5000 0.7548  4 Mo 2.56-2.77, 4 Al 2.81-2.82, 4 Ir 2.84
Ir 0.0000 0.0000 0.5000  2 Al 2.61, 2 Ir 2.77, 8 Mo 2.84

Output
Volume: 15.072 Å³ per atom
Magnetization: 0.0 Bohr magnetons per cell

=====

Model B:
AlMo2Ir: relaxed, PBE.

a b c (Å): 4.9815 4.9815 2.7552
angles (deg): 90.00 90.00 117.63
With the nearest neighbours (Å) after each atom.
Positions (direct):
Al 0.0000 0.0000 0.0000  2 Ir 2.58, 2 Al 2.76, 8 Mo 2.85
Mo 0.0000 0.5000 0.5000  4 Mo 2.58-2.76, 4 Al 2.85, 4 Ir 2.85
Mo 0.5000 0.0000 0.5000  4 Mo 2.58-2.76, 4 Ir 2.85, 4 Al 2.85
Ir 0.5000 0.5000 0.0000  2 Al 2.58, 2 Ir 2.76, 8 Mo 2.85

Output
Volume: 15.143 Å³ per atom
Magnetization: 0.0 Bohr magnetons per cell

=====

Model C:
AlMo2Ir: relaxed, PBE.

a b c (Å): 2.7778 4.3829 5.0029
angles (deg): 90.00 95.41 90.00
With the nearest neighbours (Å) after each atom.
Positions (direct):
Al 0.0000 0.0000 0.0000  2 Ir 2.56, 4 Mo 2.65-2.85, 2 Al 2.78
Mo 0.3971 0.5000 0.7761  4 Mo 2.64-2.78, 4 Al 2.74-2.92, 3 Ir 2.75-2.81
Mo 0.5643 0.0000 0.5058  4 Mo 2.64-2.78, 3 Al 2.65-2.91, 2 Ir 2.79
Ir 0.9595 0.5000 0.2598  2 Al 2.56, 5 Mo 2.75-2.81, 2 Ir 2.78

Output
Volume: 15.160 Å³ per atom
Magnetization: 0.0 Bohr magnetons per cell

=====

Least stable = model B

=====

Model A:
AlMoIr3: relaxed, PBE.

a b c (Å): 4.7157 4.7157 4.7157
angles (deg): 90.00 90.00 90.00
With the nearest neighbours (Å) after each atom.
Positions (direct):
Al 0.0000 0.0000 0.0000  12 Ir 3.33
Mo 0.5000 0.5000 0.5000  6 Ir 2.36
Ir 0.0000 0.5000 0.5000  2 Mo 2.36
Ir 0.5000 0.0000 0.5000  2 Mo 2.36
Ir 0.5000 0.5000 0.0000  2 Mo 2.36

Output
Volume: 20.973 Å³ per atom
Magnetization: 0.0 Bohr magnetons per cell

=====

Model B:
AlMoIr3: relaxed, PBE.

a b c (Å): 4.4145 4.4145 4.4145
angles (deg): 90.00 90.00 90.00
With the nearest neighbours (Å) after each atom.
Positions (direct):
Al 0.0000 0.0000 0.0000  6 Ir 2.21
Mo 0.5000 0.5000 0.5000  12 Ir 3.12
Ir 0.0000 0.0000 0.5000  2 Al 2.21
Ir 0.0000 0.5000 0.0000  2 Al 2.21
Ir 0.5000 0.0000 0.0000  2 Al 2.21

Output
Volume: 17.206 Å³ per atom
Magnetization: 2.2 Bohr magnetons per cell

=====

Least stable = model A

=====

Model A:
AlMoIr2Pt: relaxed, PBE.

a b c (Å): 4.4496 4.4496 4.4651
angles (deg): 90.00 90.00 90.00
With the nearest neighbours (Å) after each atom.
Positions (direct):
Al 0.0000 0.0000 0.0000  4 Ir 2.22, 2 Pt 2.23
Mo 0.5000 0.5000 0.5000  4 Pt 3.15, 8 Ir 3.15
Ir 0.0000 0.5000 0.0000  2 Al 2.22
Ir 0.5000 0.0000 0.0000  2 Al 2.22
Pt 0.0000 0.0000 0.5000  2 Al 2.23

Output
Volume: 17.681 Å³ per atom
Magnetization: 3.0 Bohr magnetons per cell

=====

Model B:
AlMoIr2Pt: relaxed, PBE.

a b c (Å): 4.8640 4.8640 4.6875
angles (deg): 90.00 90.00 90.00
With the nearest neighbours (Å) after each atom.
Positions (direct):
Al 0.0000 0.0000 0.0000  8 Ir 3.38, 4 Mo 3.44
Mo 0.5000 0.5000 0.0000  2 Pt 2.34
Ir 0.0000 0.5000 0.5000  2 Pt 2.43
Ir 0.5000 0.0000 0.5000  2 Pt 2.43
Pt 0.5000 0.5000 0.5000  2 Mo 2.34, 4 Ir 2.43

Output
Volume: 22.180 Å³ per atom
Magnetization: 3.5 Bohr magnetons per cell

=====

Least stable = model B

=====

Model A:
AlIr2N: relaxed, PBE.

a b c (Å): 5.9523 5.9523 5.9523
angles (deg): 127.59 127.59 77.28
With the nearest neighbours (Å) after each atom.
Positions (direct):
Al 0.0000 0.0000 0.0000  4 Ir 2.49
Al 0.7500 0.2500 0.5000  4 Ir 2.49
Ir 0.2113 0.6250 0.0863  2 N 1.95
Ir 0.3750 0.4613 0.5863  2 N 1.95
Ir 0.5387 0.1250 0.9137  2 N 1.95
Ir 0.8750 0.7887 0.4137  2 N 1.95
N 0.2500 0.7500 0.5000  4 Ir 1.95
N 0.5000 0.5000 0.0000  4 Ir 1.95

Output
Volume: 16.057 Å³ per atom
Magnetization: 0.0 Bohr magnetons per cell

=====

Model B:
AlIr2N: relaxed, PBE.

a b c (Å): 4.1413 4.1413 4.1413
angles (deg): 60.00 60.00 60.00
With the nearest neighbours (Å) after each atom.
Positions (direct):
Al 0.0000 0.0000 0.0000  8 Ir 2.54
Ir 0.2500 0.2500 0.2500  4 Al 2.54, 4 N 2.54
Ir 0.7500 0.7500 0.7500  4 N 2.54, 4 Al 2.54
N 0.5000 0.5000 0.5000  8 Ir 2.54

Output
Volume: 12.555 Å³ per atom
Magnetization: 0.0 Bohr magnetons per cell

=====

Least stable = model B